(1)
## Y2ZrBiI (PBE)

Data for Y2ZrBiI after structural relaxation.

Unit cell a=5.9024 b=5.9024 c=5.5378 alpha=90.00 beta=90.00 gamma=90.00
Closest atoms and distances in Å follow each position.
Fractional positions:
Y (0.0000, 0.5000, 0.0000)  2 Bi 2.95
Y (0.5000, 0.0000, 0.0000)  2 Bi 2.95
Zr (0.0000, 0.0000, 0.5000)  2 Bi 2.77
Bi (0.0000, 0.0000, 0.0000)  2 Zr 2.77, 4 Y 2.95
I (0.5000, 0.5000, 0.5000)  8 Y 4.05, 4 Zr 4.17

Output
- E_form (uncorrected) (eV/atom) = 0.46
- total DFT energy (no corrections) (eV per cell) = -24.6


(2)
## ZnBiI3 (PBE)

Data for ZnBiI3 after structural relaxation.

Unit cell a=6.1657 b=6.1657 c=6.1657 alpha=90.00 beta=90.00 gamma=90.00
Closest atoms and distances in Å follow each position.
Fractional positions:
Zn (0.0000, 0.0000, 0.0000)  12 I 4.36
Bi (0.5000, 0.5000, 0.5000)  6 I 3.08
I (0.0000, 0.5000, 0.5000)  2 Bi 3.08
I (0.5000, 0.0000, 0.5000)  2 Bi 3.08
I (0.5000, 0.5000, 0.0000)  2 Bi 3.08

Output
- E_form (uncorrected) (eV/atom) = -0.03
- total DFT energy (no corrections) (eV per cell) = -9.9
- E above lowest polymorph (meV/atom) = 0


(3)
## Zn2Bi2I (PBE)

Data for Zn2Bi2I after structural relaxation.

Unit cell a=8.7379 b=8.7379 c=3.6320 alpha=90.00 beta=90.00 gamma=90.00
Closest atoms and distances in Å follow each position.
Fractional positions:
Zn (0.1446, 0.3554, 0.0000)  6 Bi 3.10-3.16
Zn (0.3554, 0.8554, 0.0000)  6 Bi 3.10-3.16
Zn (0.6446, 0.1446, 0.0000)  6 Bi 3.10-3.16
Zn (0.8554, 0.6446, 0.0000)  6 Bi 3.10-3.16
Bi (0.1516, 0.6516, 0.5000)  6 Zn 3.10-3.16, 2 I 3.32
Bi (0.3484, 0.1516, 0.5000)  6 Zn 3.10-3.16, 2 I 3.32
Bi (0.6516, 0.8484, 0.5000)  6 Zn 3.10-3.16, 2 I 3.32
Bi (0.8484, 0.3484, 0.5000)  6 Zn 3.10-3.16, 2 I 3.32
I (0.0000, 0.0000, 0.5000)  4 Bi 3.32, 2 I 3.63
I (0.5000, 0.5000, 0.5000)  4 Bi 3.32, 2 I 3.63

Output
- E_form (uncorrected) (eV/atom) = 0.18
- total DFT energy (no corrections) (eV per cell) = -21.9
- E above lowest polymorph (meV/atom) = 55


(4)
## Zn2Bi2I (PBE)

Data for Zn2Bi2I after structural relaxation.

Unit cell a=6.4791 b=6.4791 c=6.4791 alpha=131.44 beta=131.44 gamma=71.11
Closest atoms and distances in Å follow each position.
Fractional positions:
Zn (0.2500, 0.7500, 0.5000)  4 Bi 2.89
Zn (0.7500, 0.2500, 0.5000)  4 Bi 2.89
Bi (0.1449, 0.1449, 0.0000)  4 Zn 2.89, 1 Bi 3.05
Bi (0.8551, 0.8551, 0.0000)  4 Zn 2.89, 1 Bi 3.05
I (0.5000, 0.5000, 0.0000)  10 Bi 3.74-4.07, 8 Zn 3.75

Output
- E_form (uncorrected) (eV/atom) = 0.12
- total DFT energy (no corrections) (eV per cell) = -11.2
- E above lowest polymorph (meV/atom) = 0


- Which value of total DFT energy (no corrections) does entry 4 give?
  -11.2 eV per cell


- Which of these has the lowest total DFT energy (no corrections)?
  Y2ZrBiI